1.
VASP calculation (PBE-GGA) on a geometry-optimized CdPd4Au2 structure.

Lattice parameters (Å, degrees): 4.8964 7.5344 7.7122 105.76 102.16 108.87
Last column: nearest neighbours and their distance in Å.
Element x y z (fractional)
1 Cd 0.0000 0.0000 0.0000  8 Pd 2.74-2.93, 2 Au 2.87-2.93
2 Cd 0.2808 0.4637 0.6783  9 Pd 2.81-2.88, 3 Au 2.86-2.95
3 Pd 0.0296 0.5213 0.3366  4 Au 2.78-2.87, 6 Pd 2.79-2.91, 1 Cd 2.87
4 Pd 0.0698 0.0578 0.6731  2 Cd 2.74-2.88, 5 Au 2.80-2.92, 4 Pd 2.83-2.89
5 Pd 0.2026 0.3942 0.0130  2 Cd 2.78-2.85, 6 Pd 2.81-2.89, 2 Au 2.81-2.82
6 Pd 0.3975 0.7954 0.0085  5 Pd 2.80-2.87, 3 Au 2.81-2.88, 3 Cd 2.84-2.88
7 Pd 0.4356 0.3247 0.3415  5 Au 2.77-2.98, 4 Pd 2.81-2.87, 2 Cd 2.87-2.88
8 Pd 0.4707 0.8589 0.6775  3 Au 2.79-2.89, 6 Pd 2.80-2.91, 2 Cd 2.82-2.85
9 Pd 0.8017 0.5939 0.0116  3 Au 2.79-2.86, 6 Pd 2.79-2.86, 2 Cd 2.88-2.93
10 Pd 0.8784 0.6581 0.6758  7 Pd 2.80-2.88, 3 Cd 2.81-2.85, 2 Au 2.82-2.92
11 Au 0.2344 0.9263 0.3433  6 Pd 2.84-2.88, 5 Au 2.85-2.94, 1 Cd 2.93
12 Au 0.6310 0.7188 0.3422  9 Pd 2.81-2.89, 3 Au 2.86-2.96
13 Au 0.6767 0.2570 0.6956  7 Pd 2.79-2.98, 2 Cd 2.86-2.91, 2 Au 2.94-3.04
14 Au 0.8269 0.1293 0.3307  5 Pd 2.77-2.92, 4 Au 2.85-3.04, 2 Cd 2.87-2.95

* space-group type: P1 (1)
* calculated total energy: -4.1383 eV/atom
* DFT formation energy: -2.4 kcal/mol of atoms
* size of the total moment: 0.00 μB per formula unit
* energy above the lowest structure with this stoichiometry: 0.0000 eV/atom

***

2.
VASP calculation (PBE-GGA) on a geometry-optimized AgRu3 structure.

Lattice parameters (Å, degrees): 5.4878 5.4878 4.3689 90.00 90.00 113.96
Last column: nearest neighbours and their distance in Å.
Element x y z (fractional)
1 Ag 0.1282 0.8718 0.7500  12 Ru 2.72-3.04
2 Ag 0.8718 0.1282 0.2500  12 Ru 2.72-3.04
3 Ru 0.1871 0.3885 0.7500  4 Ru 2.54-2.65, 4 Ag 2.72-2.80
4 Ru 0.3120 0.6880 0.2500  6 Ru 2.60-2.65, 2 Ag 2.76
5 Ru 0.3885 0.1871 0.2500  4 Ru 2.54-2.65, 4 Ag 2.72-2.80
6 Ru 0.6115 0.8129 0.7500  4 Ru 2.54-2.65, 4 Ag 2.72-2.80
7 Ru 0.6880 0.3120 0.7500  6 Ru 2.60-2.65, 2 Ag 2.76
8 Ru 0.8129 0.6115 0.2500  4 Ru 2.54-2.65, 4 Ag 2.72-2.80

* space-group type: Cmcm (63)
* calculated total energy: -7.1187 eV/atom
* DFT formation energy: 12.7 kcal/mol of atoms
* size of the total moment: 0.00 μB per formula unit

***

3.
VASP calculation (PBE-GGA) on a geometry-optimized CaAc2S4 structure.

Lattice parameters (Å, degrees): 7.1539 7.8165 14.6990 90.00 90.00 90.00
Last column: nearest neighbours and their distance in Å.
Element x y z (fractional)
1 Ca 0.0000 0.0000 0.0000  6 S 2.78-2.88
2 Ca 0.0000 0.5000 0.5000  6 S 2.78-2.88
3 Ca 0.5000 0.0000 0.5000  6 S 2.78-2.88
4 Ca 0.5000 0.5000 0.0000  6 S 2.78-2.88
5 Ac 0.0064 0.0969 0.3555  6 S 2.94-3.17
6 Ac 0.0064 0.4031 0.8555  6 S 2.94-3.17
7 Ac 0.4936 0.5969 0.3555  6 S 2.94-3.17
8 Ac 0.4936 0.9031 0.8555  6 S 2.94-3.17
9 Ac 0.5064 0.0969 0.1445  6 S 2.94-3.17
10 Ac 0.5064 0.4031 0.6445  6 S 2.94-3.17
11 Ac 0.9936 0.5969 0.1445  6 S 2.94-3.17
12 Ac 0.9936 0.9031 0.6445  6 S 2.94-3.17
13 S 0.1359 0.5514 0.6824  1 Ca 2.88, 3 Ac 2.94-2.98
14 S 0.1359 0.9486 0.1824  1 Ca 2.88, 3 Ac 2.94-2.98
15 S 0.1825 0.6884 0.9576  2 Ca 2.78-2.83, 1 Ac 2.97
16 S 0.1825 0.8116 0.4576  2 Ca 2.78-2.83, 1 Ac 2.97
17 S 0.3175 0.1884 0.9576  2 Ca 2.78-2.83, 1 Ac 2.97
18 S 0.3175 0.3116 0.4576  2 Ca 2.78-2.83, 1 Ac 2.97
19 S 0.3641 0.0514 0.6824  1 Ca 2.88, 3 Ac 2.94-2.98
20 S 0.3641 0.4486 0.1824  1 Ca 2.88, 3 Ac 2.94-2.98
21 S 0.6359 0.5514 0.8176  1 Ca 2.88, 3 Ac 2.94-2.98
22 S 0.6359 0.9486 0.3176  1 Ca 2.88, 3 Ac 2.94-2.98
23 S 0.6825 0.6884 0.5424  2 Ca 2.78-2.83, 1 Ac 2.97
24 S 0.6825 0.8116 0.0424  2 Ca 2.78-2.83, 1 Ac 2.97
25 S 0.8175 0.1884 0.5424  2 Ca 2.78-2.83, 1 Ac 2.97
26 S 0.8175 0.3116 0.0424  2 Ca 2.78-2.83, 1 Ac 2.97
27 S 0.8641 0.0514 0.8176  1 Ca 2.88, 3 Ac 2.94-2.98
28 S 0.8641 0.4486 0.3176  1 Ca 2.88, 3 Ac 2.94-2.98

* raw formation energy: -2102 meV per atom
* space-group type: Pbca (61)
* calculated total energy: -5.9204 eV/atom
* size of the total moment: 0.00 μB per formula unit
* energy above the lowest structure with this stoichiometry: 0.0000 eV/atom

***

4.
VASP calculation (PBE-GGA) on a geometry-optimized Zn2TcCl2 structure.

Lattice parameters (Å, degrees): 9.2490 9.2490 9.2490 158.45 158.45 30.66
Last column: nearest neighbours and their distance in Å.
Element x y z (fractional)
1 Zn 0.2500 0.7500 0.5000  4 Zn 2.45
2 Zn 0.7500 0.2500 0.5000  4 Zn 2.45
3 Tc 0.0000 0.0000 0.0000  8 Cl 2.92
4 Cl 0.4103 0.4103 0.0000  4 Tc 2.92, 1 Cl 3.20
5 Cl 0.5897 0.5897 0.0000  4 Tc 2.92, 1 Cl 3.20

* raw formation energy: 294 meV per atom
* space-group type: I4/mmm (139)
* calculated total energy: -3.0279 eV/atom
* size of the total moment: 4.48 μB per formula unit
* energy above the lowest structure with this stoichiometry: 0.0000 eV/atom

***

5.
VASP calculation (PBE-GGA) on a geometry-optimized TiPbS2Cl structure.

Lattice parameters (Å, degrees): 5.1952 5.1952 5.1681 90.00 90.00 90.00
Last column: nearest neighbours and their distance in Å.
Element x y z (fractional)
1 Ti 0.0000 0.0000 0.0000  8 S 3.66, 4 Cl 3.67
2 Pb 0.5000 0.5000 0.5000  2 Cl 2.58, 4 S 2.60
3 S 0.0000 0.5000 0.5000  2 Pb 2.60
4 S 0.5000 0.0000 0.5000  2 Pb 2.60
5 Cl 0.5000 0.5000 0.0000  2 Pb 2.58

* raw formation energy: 464 meV per atom
* space-group type: P4/mmm (123)
* calculated total energy: -3.8768 eV/atom
* size of the total moment: 0.10 μB per formula unit
* energy above the lowest structure with this stoichiometry: 1.2854 eV/atom

***

6.
VASP calculation (PBE-GGA) on a geometry-optimized Sb2TeOs structure.

Lattice parameters (Å, degrees): 5.0136 5.0136 5.0136 120.46 120.46 89.21
Last column: nearest neighbours and their distance in Å.
Element x y z (fractional)
1 Sb 0.0000 0.0000 0.0000  4 Sb 3.06, 4 Te 3.06
2 Sb 0.7500 0.2500 0.5000  4 Sb 3.06, 4 Os 3.06
3 Te 0.2500 0.7500 0.5000  4 Sb 3.06, 4 Os 3.06
4 Os 0.5000 0.5000 0.0000  4 Sb 3.06, 4 Te 3.06

* raw formation energy: 799 meV per atom
* space-group type: I-4m2 (119)
* calculated total energy: -4.8549 eV/atom
* size of the total moment: 0.00 μB per formula unit

***

7.
VASP calculation (PBE-GGA) on a geometry-optimized SbAs2P2 structure.

Lattice parameters (Å, degrees): 8.0920 8.0920 3.3920 90.00 90.00 90.00
Last column: nearest neighbours and their distance in Å.
Element x y z (fractional)
1 Sb 0.0000 0.0000 0.0000  4 As 2.99
2 Sb 0.5000 0.5000 0.0000  4 As 2.99
3 As 0.1738 0.3262 0.0000  2 P 2.34
4 As 0.3262 0.8262 0.0000  2 P 2.34
5 As 0.6738 0.1738 0.0000  2 P 2.34
6 As 0.8262 0.6738 0.0000  2 P 2.34
7 P 0.1848 0.6848 0.5000  2 As 2.34
8 P 0.3152 0.1848 0.5000  2 As 2.34
9 P 0.6848 0.8152 0.5000  2 As 2.34
10 P 0.8152 0.3152 0.5000  2 As 2.34

* raw formation energy: 327 meV per atom
* space-group type: P4/mbm (127)
* calculated total energy: -4.5216 eV/atom
* size of the total moment: 0.00 μB per formula unit
* energy above the lowest structure with this stoichiometry: 0.0000 eV/atom

***

8.
VASP calculation (PBE-GGA) on a geometry-optimized NiSnSb2Te structure.

Lattice parameters (Å, degrees): 4.9470 4.9470 5.4157 90.00 90.00 90.00
Last column: nearest neighbours and their distance in Å.
Element x y z (fractional)
1 Ni 0.0000 0.0000 0.0000  4 Sb 2.47, 2 Te 2.71
2 Sn 0.5000 0.5000 0.5000  4 Te 3.50, 8 Sb 3.67
3 Sb 0.0000 0.5000 0.0000  2 Ni 2.47
4 Sb 0.5000 0.0000 0.0000  2 Ni 2.47
5 Te 0.0000 0.0000 0.5000  2 Ni 2.71

* raw formation energy: 223 meV per atom
* space-group type: P4/mmm (123)
* calculated total energy: -4.0112 eV/atom
* size of the total moment: 0.00 μB per formula unit
* energy above the lowest structure with this stoichiometry: 0.0000 eV/atom